# 1
This record from the Alexandria database describes In2ReAu after structural relaxation. The functional is PBE.

Cell and atoms, written as extended XYZ:
```
4
Lattice="2.884 0.000 0.000 0.000 5.075 0.000 0.000 0.000 5.159" Properties=species:S:1:pos:R:3 pbc="T T T"
In 0.000 0.000 0.000
In 0.000 2.537 2.071
Re 1.442 2.537 4.626
Au 1.442 0.000 2.625
```

Summary:
**Symmetry**: Pmm2, No. 25
**Electronic total energy**: -19.71 eV per cell
**Energy of formation**: 374 meV per atom
**Crystal system**: orthorhombic



# 2
This record from the Alexandria database describes PrSn4Pd after structural relaxation. The functional is PBE.

Cell and atoms, written as extended XYZ:
```
12
Lattice="2.261 -14.952 0.000 2.261 14.952 0.000 0.000 0.000 4.613" Properties=species:S:1:pos:R:3 pbc="T T T"
Pr 2.261 9.174 0.000
Pr 2.261 -9.174 0.000
Sn 0.000 0.000 2.307
Sn 2.261 11.630 2.307
Sn 2.261 6.475 2.307
Sn 2.261 3.286 0.000
Sn 2.261 0.000 0.000
Sn 2.261 -3.286 0.000
Sn 2.261 -6.475 2.307
Sn 2.261 -11.630 2.307
Pd 2.261 1.631 2.307
Pd 2.261 -1.631 2.307
```

Summary:
**Symmetry**: Cmmm, No. 65
**Electronic total energy**: -57.68 eV per cell
**Energy of formation**: -476 meV per atom
**Crystal system**: orthorhombic



# 3
This record from the Alexandria database describes Er2C after structural relaxation. The functional is PBE.

Cell and atoms, written as extended XYZ:
```
3
Lattice="1.780 1.028 6.039 -1.780 1.028 6.039 0.000 -2.056 6.039" Properties=species:S:1:pos:R:3 pbc="T T T"
Er 0.000 0.000 4.350
Er 0.000 0.000 13.766
C 0.000 0.000 9.058
```

Summary:
**Symmetry**: R-3m, No. 166
**Electronic total energy**: -19.32 eV per cell
**Energy of formation**: -323 meV per atom
**Crystal system**: trigonal



# 4
This record from the Alexandria database describes FeOsAu2 after structural relaxation. The functional is PBE.

Cell and atoms, written as extended XYZ:
```
4
Lattice="1.395 0.805 9.300 -1.395 0.805 9.300 0.000 -1.610 9.300" Properties=species:S:1:pos:R:3 pbc="T T T"
Fe 0.000 0.000 0.000
Os 0.000 0.000 20.557
Au 0.000 0.000 7.048
Au 0.000 0.000 13.737
```

Summary:
**Symmetry**: R3m, No. 160
**Electronic total energy**: -25.21 eV per cell
**Energy of formation**: 259 meV per atom
**Crystal system**: trigonal



# 5
This record from the Alexandria database describes LaYTm2P4 after structural relaxation. The functional is PBE.

Cell and atoms, written as extended XYZ:
```
8
Lattice="7.010 0.000 0.000 0.000 4.051 0.000 -2.333 0.000 6.613" Properties=species:S:1:pos:R:3 pbc="T T T"
La 0.000 0.000 0.000
Y -1.166 2.025 3.306
Tm 2.338 0.000 3.306
Tm 3.505 2.025 0.000
P 0.070 0.000 4.941
P 1.239 2.025 1.721
P 3.438 2.025 4.891
P 4.607 0.000 1.672
```

Summary:
**Symmetry**: P2/m, No. 10
**Electronic total energy**: -54.63 eV per cell
**Energy of formation**: -1582 meV per atom
**Crystal system**: monoclinic



# 6
This record from the Alexandria database describes ReNiBP2 after structural relaxation. The functional is PBE.

Cell and atoms, written as extended XYZ:
```
5
Lattice="4.046 -1.503 0.000 4.046 1.503 0.000 -1.254 0.000 5.308" Properties=species:S:1:pos:R:3 pbc="T T T"
Re 0.000 0.000 0.000
Ni 4.703 0.000 2.174
B 7.164 0.000 2.005
P 2.452 0.000 3.223
P 5.791 0.000 0.212
```

Summary:
**Symmetry**: Cm, No. 8
**Electronic total energy**: -35.77 eV per cell
**Energy of formation**: -9 meV per atom
**Crystal system**: monoclinic



# 7
This record from the Alexandria database describes NdGdMg2 after structural relaxation. The functional is PBE.

Cell and atoms, written as extended XYZ:
```
4
Lattice="0.000 3.854 3.854 3.854 0.000 3.854 3.854 3.854 0.000" Properties=species:S:1:pos:R:3 pbc="T T T"
Nd 0.000 0.000 0.000
Gd 3.854 3.854 3.854
Mg 1.927 1.927 1.927
Mg 5.781 5.781 5.781
```

Summary:
**Symmetry**: Fm-3m, No. 225
**Electronic total energy**: -22.48 eV per cell
**Energy of formation**: -110 meV per atom
**Crystal system**: cubic



# 8
This record from the Alexandria database describes Y2TaS6 after structural relaxation. The functional is PBE.

Cell and atoms, written as extended XYZ:
```
18
Lattice="6.217 0.000 0.000 0.000 6.217 0.000 0.000 0.000 11.706" Properties=species:S:1:pos:R:3 pbc="T T T"
Y 0.000 0.000 1.992
Y 0.000 0.000 9.714
Y 3.109 3.109 3.861
Y 3.109 3.109 7.845
Ta 0.000 0.000 5.853
Ta 3.109 3.109 0.000
S 1.196 1.196 4.111
S 1.196 1.196 7.595
S 1.346 1.346 0.000
S 1.763 4.455 5.853
S 1.913 4.304 1.742
S 1.913 4.304 9.964
S 4.304 1.913 1.742
S 4.304 1.913 9.964
S 4.455 1.763 5.853
S 4.871 4.871 0.000
S 5.022 5.022 4.111
S 5.022 5.022 7.595
```

Summary:
**Uncorrected formation energy**: -1.317 eV/atom
**Symmetry**: P4_2/mnm, No. 136
**Electronic total energy**: -122.80 eV per cell
**Crystal system**: tetragonal